Below is a geometry-optimized Dy3Bi2H structure, with properties calculated at the PBE-GGA level.

Calculated values
Crystal system: monoclinic

a b c (Å): 6.3339 7.9288 7.1871
angles (deg): 98.64 116.14 90.00
Element x y z (fractional)
Bi1 0.4005 0.9811 0.6710
H1 0.0231 0.2500 0.0000
Dy1 0.2430 0.6690 0.2917
Dy2 0.9513 0.8310 0.7083
Bi2 0.7295 0.5189 0.3290
Bi3 0.2705 0.4811 0.6710
Dy3 0.6407 0.7500 0.0000
Dy4 0.3593 0.2500 0.0000
Bi4 0.5995 0.0189 0.3290
Dy5 0.7570 0.3310 0.7083
H2 0.9769 0.7500 0.0000
Dy6 0.0487 0.1690 0.2917

***

Below is a geometry-optimized Dy4Bi5H2 structure, with properties calculated at the PBE-GGA level.

Calculated values
Crystal system: monoclinic

a b c (Å): 3.9759 8.9703 8.8159
angles (deg): 95.01 103.03 90.00
Element x y z (fractional)
Bi1 0.5000 0.0000 0.0000
Dy1 0.2915 0.2973 0.5830
Bi2 0.1707 0.0007 0.3414
H1 0.4172 0.2952 0.8343
Dy2 0.0320 0.7298 0.0641
Dy3 0.7085 0.7027 0.4170
Dy4 0.9680 0.2702 0.9359
Bi3 0.8293 0.9993 0.6586
Bi4 0.1332 0.4452 0.2664
Bi5 0.8668 0.5548 0.7336
H2 0.5828 0.7048 0.1657

***

Below is a geometry-optimized DyBiH structure, with properties calculated at the PBE-GGA level.

Calculated values
Crystal system: orthorhombic
ΔE to the lowest computed polymorph, eV/atom: 0.021

a b c (Å): 3.8187 6.5285 9.7984
angles (deg): 90.00 90.00 90.00
Element x y z (fractional)
H1 0.2500 0.5810 0.2501
Bi1 0.7500 0.7504 0.4999
H2 0.7500 0.0810 0.2499
H3 0.2500 0.9190 0.7501
Dy1 0.7500 0.4155 0.2502
Dy2 0.2500 0.5845 0.7498
Bi2 0.2500 0.2496 0.5001
H4 0.7500 0.4190 0.7499
Bi3 0.7500 0.7496 0.9999
Bi4 0.2500 0.2504 0.0001
Dy3 0.2500 0.9155 0.2498
Dy4 0.7500 0.0845 0.7502

***

Below is a geometry-optimized DyBi2H structure, with properties calculated at the PBE-GGA level.

Calculated values
Crystal system: monoclinic

a b c (Å): 3.5617 3.5617 9.6768
angles (deg): 89.84 100.77 119.99
Element x y z (fractional)
H1 0.0429 0.2714 0.3143
Dy1 0.7077 0.6039 0.3116
Bi1 0.1791 0.8419 0.0210
Bi2 0.5703 0.0328 0.6031

***

Below is a geometry-optimized Dy5Bi4H structure, with properties calculated at the PBE-GGA level.

Calculated values
Crystal system: tetragonal

a b c (Å): 6.2827 7.5896 7.5896
angles (deg): 80.14 65.55 65.55
Element x y z (fractional)
Bi1 0.4102 0.3940 0.7990
Dy1 0.3042 0.8037 0.6013
Bi2 0.2092 0.2010 0.3940
Bi3 0.6032 0.6060 0.2010
Dy2 0.4051 0.0000 0.0000
Bi4 0.8042 0.7990 0.6060
Dy3 0.7092 0.1963 0.3987
Dy4 0.1080 0.6013 0.1963
Dy5 0.9055 0.3987 0.8037
H1 0.0515 0.0000 0.0000

***

Below is a geometry-optimized Dy5Bi2H structure, with properties calculated at the PBE-GGA level.

Calculated values
Crystal system: tetragonal

a b c (Å): 7.0007 7.0007 6.6722
angles (deg): 121.68 121.68 89.96
Element x y z (fractional)
Dy1 0.7527 0.2513 0.0039
Dy2 0.7525 0.7525 0.0037
Bi1 0.7517 0.2517 0.5035
Dy3 0.7563 0.7563 0.5127
H1 0.0095 0.0095 0.0190
Dy4 0.2513 0.7527 0.0038
Bi2 0.2517 0.7517 0.5035
Dy5 0.2514 0.2514 0.0040

***

no.,VASP energy (eV per atom)
1,-4.682
2,-4.554
3,-4.551
4,-4.324
5,-4.794
6,-4.624